Density functional theory data (PBE-GGA) for a relaxed structure of LaTl2Bi2.

Computed properties:
As for the space group: Cmcm, No. 63. As for the volume: 32.5 A^3/atom. For the distance to the lowest polymorph of the same formula, the calculation gives 0 meV/atom. The value obtained for the uncorrected energy is -3.916 eV per atom. The value obtained for the theoretical density is 9.862 g/cm³.

Unit cell a=15.0116 b=15.0116 c=4.6626 alpha=90.00 beta=90.00 gamma=161.97
Fractional positions:
La 0.1629 0.8371 0.7500
La 0.8371 0.1629 0.2500
Tl 0.0515 0.9485 0.2500
Tl 0.4488 0.5512 0.2500
Tl 0.5512 0.4488 0.7500
Tl 0.9485 0.0515 0.7500
Bi 0.2501 0.7499 0.2500
Bi 0.3629 0.6371 0.7500
Bi 0.6371 0.3629 0.2500
Bi 0.7499 0.2501 0.7500


Density functional theory data (PBE-GGA) for a relaxed structure of KInSnBi.

Computed properties:
As for the space group: F-43m, No. 216. As for the volume: 31.6 A^3/atom. The value obtained for the uncorrected energy is -2.958 eV per atom. The value obtained for the theoretical density is 6.323 g/cm³.

Unit cell a=5.6342 b=5.6342 c=5.6342 alpha=60.00 beta=60.00 gamma=60.00
Fractional positions:
K 0.0000 0.0000 0.0000
In 0.2500 0.2500 0.2500
Sn 0.5000 0.5000 0.5000
Bi 0.7500 0.7500 0.7500


Density functional theory data (PBE-GGA) for a relaxed structure of Ti2Al3Cu3.

Computed properties:
As for the space group: Pmmm, No. 47. As for the volume: 14.4 A^3/atom. The value obtained for the uncorrected energy is -5.183 eV per atom. The value obtained for the theoretical density is 5.281 g/cm³.

Unit cell a=3.8771 b=3.9577 c=7.5266 alpha=90.00 beta=90.00 gamma=90.00
Fractional positions:
Ti 0.0000 0.0000 0.2489
Ti 0.0000 0.0000 0.7511
Al 0.0000 0.5000 0.0000
Al 0.0000 0.5000 0.5000
Al 0.5000 0.0000 0.0000
Cu 0.5000 0.0000 0.5000
Cu 0.5000 0.5000 0.2512
Cu 0.5000 0.5000 0.7488


Density functional theory data (PBE-GGA) for a relaxed structure of KBe2Ag.

Computed properties:
As for the space group: Pm, No. 6. As for the volume: 19.0 A^3/atom. For the distance to the lowest polymorph of the same formula, the calculation gives 250 meV/atom. The value obtained for the uncorrected energy is -2.335 eV per atom. The value obtained for the theoretical density is 3.614 g/cm³.

Unit cell a=2.7383 b=3.6245 c=7.7508 alpha=90.00 beta=99.74 gamma=90.00
Fractional positions:
K 0.0000 0.0000 0.0000
Be 0.3133 0.5000 0.6303
Be 0.7960 0.0000 0.5964
Ag 0.6794 0.5000 0.3565


Density functional theory data (PBE-GGA) for a relaxed structure of ZnPb2Cl6.

Computed properties:
As for the space group: C2/c, No. 15. The value obtained for the formation energy from raw total energies is -1.122 eV/atom. As for the volume: 32.3 A^3/atom. For the distance to the lowest polymorph of the same formula, the calculation gives 0 meV/atom. The value obtained for the uncorrected energy is -3.319 eV per atom. The value obtained for the theoretical density is 3.959 g/cm³.

Unit cell a=10.7691 b=10.7691 c=5.7925 alpha=104.48 beta=104.48 gamma=107.42
Fractional positions:
Zn 0.1689 0.8311 0.7500
Zn 0.8311 0.1689 0.2500
Pb 0.2438 0.4504 0.3722
Pb 0.4504 0.2438 0.8722
Pb 0.5496 0.7562 0.1278
Pb 0.7562 0.5496 0.6278
Cl 0.0206 0.2011 0.1224
Cl 0.1151 0.6403 0.4009
Cl 0.2011 0.0206 0.6224
Cl 0.3040 0.4568 0.8965
Cl 0.3597 0.8849 0.0991
Cl 0.4568 0.3040 0.3965
Cl 0.5432 0.6960 0.6035
Cl 0.6403 0.1151 0.9009
Cl 0.6960 0.5432 0.1035
Cl 0.7989 0.9794 0.3776
Cl 0.8849 0.3597 0.5991
Cl 0.9794 0.7989 0.8776


Density functional theory data (PBE-GGA) for a relaxed structure of DySn4Pd7.

Computed properties:
As for the space group: C2/m, No. 12. As for the volume: 19.6 A^3/atom. The value obtained for the uncorrected energy is -5.234 eV per atom. The value obtained for the theoretical density is 9.739 g/cm³.

Unit cell a=6.2266 b=6.2266 c=9.9599 alpha=120.77 beta=120.77 gamma=47.38
Fractional positions:
Dy 0.0000 0.0000 0.0000
Sn 0.2652 0.2652 0.6668
Sn 0.4099 0.4099 0.2232
Sn 0.5901 0.5901 0.7768
Sn 0.7348 0.7348 0.3332
Pd 0.0683 0.0683 0.3342
Pd 0.2189 0.2189 0.9026
Pd 0.3575 0.3575 0.4599
Pd 0.5000 0.5000 0.0000
Pd 0.6425 0.6425 0.5401
Pd 0.7811 0.7811 0.0974
Pd 0.9317 0.9317 0.6658


Density functional theory data (PBE-GGA) for a relaxed structure of Pm3Se3O.

Computed properties:
As for the space group: Pnma, No. 62. The value obtained for the formation energy from raw total energies is -2.242 eV/atom. As for the volume: 23.7 A^3/atom. For the distance to the lowest polymorph of the same formula, the calculation gives 0 meV/atom. The value obtained for the uncorrected energy is -6.480 eV per atom. The value obtained for the theoretical density is 6.889 g/cm³.

Unit cell a=12.1928 b=4.0890 c=13.3031 alpha=90.00 beta=90.00 gamma=90.00
Fractional positions:
Pm 0.0241 0.2500 0.1596
Pm 0.1013 0.2500 0.6137
Pm 0.2378 0.2500 0.8699
Pm 0.2622 0.7500 0.3699
Pm 0.3987 0.7500 0.1137
Pm 0.4759 0.7500 0.6596
Pm 0.5241 0.2500 0.3404
Pm 0.6013 0.2500 0.8863
Pm 0.7378 0.2500 0.6301
Pm 0.7622 0.7500 0.1301
Pm 0.8987 0.7500 0.3863
Pm 0.9759 0.7500 0.8404
Se 0.0735 0.2500 0.3892
Se 0.1432 0.7500 0.0092
Se 0.2363 0.7500 0.7084
Se 0.2637 0.2500 0.2084
Se 0.3568 0.2500 0.5092
Se 0.4265 0.7500 0.8892
Se 0.5735 0.2500 0.1108
Se 0.6432 0.7500 0.4908
Se 0.7363 0.7500 0.7916
Se 0.7637 0.2500 0.2916
Se 0.8568 0.2500 0.9908
Se 0.9265 0.7500 0.6108
O 0.0556 0.2500 0.7989
O 0.4444 0.7500 0.2989
O 0.5556 0.2500 0.7011
O 0.9444 0.7500 0.2011


Density functional theory data (PBE-GGA) for a relaxed structure of Hf2Ir2Os.

Computed properties:
As for the space group: I4/mmm, No. 139. As for the volume: 20.1 A^3/atom. For the distance to the lowest polymorph of the same formula, the calculation gives 715 meV/atom. The value obtained for the uncorrected energy is -9.514 eV per atom. The value obtained for the theoretical density is 15.395 g/cm³.

Unit cell a=6.1633 b=6.1633 c=6.1633 alpha=138.82 beta=138.82 gamma=59.65
Fractional positions:
Hf 0.2500 0.7500 0.5000
Hf 0.7500 0.2500 0.5000
Ir 0.1143 0.1143 0.0000
Ir 0.8857 0.8857 0.0000
Os 0.5000 0.5000 0.0000


The DOS(E_F) results, record by record, are as follows: 5.36, 2.52, 5.71, 1.37, 0.00, 5.74, 9.48, 2.74 states/eV per cell.